(1)
! BaOs2Pt, optimized geometry, DFT PBE-GGA; values from VASP
&SYSTEM
  ibrav = 0, nat = 8, ntyp = 3
/
ATOMIC_SPECIES
Os 190.23 Os.upf
Ba 137.33 Ba.upf
Pt 195.08 Pt.upf
CELL_PARAMETERS angstrom
-3.688 -1.060 -2.952
-2.313 -2.158 3.665
-6.986 6.297 2.496
ATOMIC_POSITIONS crystal
Os 0.864 0.125 0.250
Os 0.886 0.625 0.250
Os 0.375 0.136 0.750
Os 0.875 0.114 0.750
Ba 0.500 0.500 0.000
Ba 0.250 0.750 0.500
Pt 0.000 0.000 0.000
Pt 0.750 0.250 0.500
! - relative energy among the computed polymorphs (kJ per mole of atoms) = 49.22
! - calculated total energy (eV per atom) = -6.975

(2)
! BaOsPt2, optimized geometry, DFT PBE-GGA; values from VASP
&SYSTEM
  ibrav = 0, nat = 4, ntyp = 3
/
ATOMIC_SPECIES
Os 190.23 Os.upf
Ba 137.33 Ba.upf
Pt 195.08 Pt.upf
CELL_PARAMETERS angstrom
-3.072 3.410 1.398
-4.635 0.855 0.901
-0.086 -1.196 6.413
ATOMIC_POSITIONS crystal
Os 0.264 0.264 0.138
Ba 0.506 0.506 0.503
Pt 0.997 0.997 0.037
Pt 0.734 0.734 0.823
! - relative energy among the computed polymorphs (kJ per mole of atoms) = 43.87
! - calculated total energy (eV per atom) = -6.027

Record order is preserved below.
Formation energy: 0.63, 0.28 eV/atom
Record order is preserved below.
Volume: 26.687, 22.198 Å³ per atom